VASP calculation (PBE-GGA) on crystalline AcPrNd3Tm at its relaxed geometry.

Values from the calculation:
N(E_F)   35.9 states/eV/cell
ΔE_f   0.226 eV/atom

Cell lengths 20.981, 5.892, 7.151 Å; angles 90.00, 90.63, 90.00 degrees
Space group C2/m (No. 12)
Symmetry-distinct sites (fractional):
Ac  0.147  0.000  0.044 x4
Pr  0.141  0.000  0.496 x4
Nd  0.018  0.000  0.746 x4
Nd  0.157  0.500  0.757 x4
Nd  0.220  0.500  0.279 x4
Tm  0.059  0.500  0.301 x4

=====

VASP calculation (PBE-GGA) on crystalline Ac2Pr4NdTm at its relaxed geometry.

Values from the calculation:
N(E_F)   12.7 states/eV/cell
ΔE_f   0.033 eV/atom

Cell lengths 6.428, 3.776, 12.497 Å; angles 90.00, 100.46, 90.00 degrees
Space group P2/m (No. 10)
Symmetry-distinct sites (fractional):
Ac  0.000  0.000  0.000 x1
Ac  0.000  0.500  0.500 x1
Pr  0.254  0.000  0.751 x2
Pr  0.255  0.500  0.255 x2
Nd  0.500  0.500  0.000 x1
Tm  0.500  0.000  0.500 x1

=====

VASP calculation (PBE-GGA) on crystalline AcPr2NdTm5 at its relaxed geometry.

Values from the calculation:
N(E_F)   37.3 states/eV/cell
ΔE_f   0.247 eV/atom

Cell lengths 8.792, 8.792, 15.727 Å; angles 90.00, 90.00, 90.00 degrees
Space group I4/mcm (No. 140)
Symmetry-distinct sites (fractional):
Ac  0.000  0.000  0.250 x4
Pr  0.118  0.382  0.000 x8
Nd  0.000  0.500  0.250 x4
Tm  0.000  0.000  0.000 x4
Tm  0.208  0.292  0.366 x16